(1)
The following is a DFT calculation (GGA-PBE) of Li3CdHg3 after structural relaxation.

Structure (POSCAR):
```
Li3CdHg3
1.0
7.315 0.000 0.000
0.000 7.315 0.000
0.000 0.000 7.315
Li Cd Hg
6 2 6
Direct
0.000 0.250 0.500
0.000 0.750 0.500
0.250 0.500 0.000
0.500 0.000 0.250
0.500 0.000 0.750
0.750 0.500 0.000
0.000 0.000 0.000
0.500 0.500 0.500
0.000 0.500 0.250
0.000 0.500 0.750
0.250 0.000 0.500
0.500 0.250 0.000
0.500 0.750 0.000
0.750 0.000 0.500
```

Output
size of the total moment = 0.0 μB/f.u.
final energy = -0.9965 eV/atom
E_form = 0.084 eV/atom
SG = Pm-3n

(2)
The following is a DFT calculation (GGA-PBE) of TiBi2W after structural relaxation.

Structure (POSCAR):
```
TiBi2W
1.0
-2.170 2.170 10.038
2.170 -2.170 10.038
2.170 2.170 -10.038
Ti Bi W
2 4 2
Direct
0.000 0.000 0.000
0.750 0.250 0.500
0.126 0.625 0.001
0.375 0.376 0.501
0.624 0.125 0.999
0.875 0.874 0.499
0.250 0.750 0.500
0.500 0.500 0.000
```

Output
size of the total moment = 0.0 μB/f.u.
final energy = -6.2288 eV/atom
E_form = 0.924 eV/atom
SG = I-42d

(3)
The following is a DFT calculation (GGA-PBE) of Tb2NdSm6Tm after structural relaxation.

Structure (POSCAR):
```
Tb2NdSm6Tm
1.0
4.607 -7.622 0.000
4.607 7.622 0.000
-1.176 0.000 9.557
Tb Nd Sm Tm
4 2 12 2
Direct
0.196 0.298 0.454
0.298 0.196 0.954
0.702 0.804 0.046
0.804 0.702 0.546
0.475 0.525 0.750
0.525 0.475 0.250
0.009 0.792 0.882
0.065 0.512 0.686
0.208 0.991 0.618
0.256 0.622 0.055
0.378 0.744 0.445
0.488 0.935 0.814
0.512 0.065 0.186
0.622 0.256 0.555
0.744 0.378 0.945
0.792 0.009 0.382
0.935 0.488 0.314
0.991 0.208 0.118
0.089 0.911 0.250
0.911 0.089 0.750
```

Output
size of the total moment = 0.0 μB/f.u.
final energy = -4.5652 eV/atom
E_form = 0.116 eV/atom
SG = C2/c

(4)
The following is a DFT calculation (GGA-PBE) of Te2IrPt after structural relaxation.

Structure (POSCAR):
```
Te2IrPt
1.0
-2.040 2.040 4.766
2.040 -2.040 4.766
2.040 2.040 -4.766
Te Ir Pt
2 1 1
Direct
0.000 0.000 0.000
0.750 0.250 0.500
0.250 0.750 0.500
0.500 0.500 0.000
```

Output
formation energy without anion corrections = 0.4534 eV per atom
size of the total moment = 0.0 μB/f.u.
final energy = -4.8429 eV/atom
SG = I-4m2

(5)
The following is a DFT calculation (GGA-PBE) of Rb2NaY after structural relaxation.

Structure (POSCAR):
```
Rb2NaY
1.0
0.000 4.835 4.835
4.835 0.000 4.835
4.835 4.835 0.000
Rb Na Y
2 1 1
Direct
0.250 0.250 0.250
0.750 0.750 0.750
0.000 0.000 0.000
0.500 0.500 0.500
```

Output
size of the total moment = 1.5 μB/f.u.
final energy = -1.7953 eV/atom
E_form = 0.634 eV/atom
SG = Fm-3m

(6)
The following is a DFT calculation (GGA-PBE) of Ga2TeRh after structural relaxation.

Structure (POSCAR):
```
Ga2TeRh
1.0
-3.053 3.053 5.685
3.053 -3.053 5.685
3.053 3.053 -5.685
Ga Te Rh
4 2 2
Direct
0.073 0.625 0.948
0.375 0.323 0.448
0.677 0.125 0.052
0.875 0.927 0.552
0.250 0.750 0.500
0.500 0.500 0.000
0.000 0.000 0.000
0.750 0.250 0.500
```

Output
formation energy without anion corrections = -0.0128 eV per atom
size of the total moment = 0.0 μB/f.u.
final energy = -4.1495 eV/atom
SG = I-42d

(7)
The following is a DFT calculation (GGA-PBE) of ScTeBr4 after structural relaxation.

Structure (POSCAR):
```
ScTeBr4
1.0
0.000 4.344 4.344
4.344 0.000 4.344
4.344 4.344 0.000
Sc Te Br
1 1 4
Direct
0.000 0.000 0.000
0.750 0.750 0.750
0.374 0.374 0.374
0.374 0.374 0.877
0.374 0.877 0.374
0.877 0.374 0.374
```

Output
formation energy without anion corrections = 0.2918 eV per atom
size of the total moment = 0.0 μB/f.u.
final energy = -2.4023 eV/atom
SG = F-43m

(8)
The following is a DFT calculation (GGA-PBE) of ScC2 after structural relaxation.

Structure (POSCAR):
```
ScC2
1.0
5.964 0.000 0.000
-2.982 5.165 0.000
0.000 0.000 3.803
Sc C
3 6
Direct
0.000 0.000 0.000
0.333 0.667 0.500
0.667 0.333 0.500
0.000 0.245 0.500
0.000 0.755 0.500
0.245 0.000 0.500
0.245 0.245 0.500
0.755 0.000 0.500
0.755 0.755 0.500
```

Output
size of the total moment = 0.0 μB/f.u.
final energy = -8.1738 eV/atom
E_form = 0.086 eV/atom
SG = P6/mmm

(9)
The following is a DFT calculation (GGA-PBE) of Si3Rh after structural relaxation.

Structure (POSCAR):
```
Si3Rh
1.0
2.759 0.000 0.000
0.000 3.595 0.000
0.000 0.000 5.635
Si Rh
3 1
Direct
0.000 0.000 0.000
0.500 0.500 0.262
0.500 0.500 0.738
0.000 0.000 0.500
```

Output
formation energy without anion corrections = 0.0419 eV per atom
size of the total moment = 0.0 μB/f.u.
final energy = -5.8632 eV/atom
SG = Pmmm

(10)
The following is a DFT calculation (GGA-PBE) of K2LaMn after structural relaxation.

Structure (POSCAR):
```
K2LaMn
1.0
3.492 0.000 0.000
0.000 6.611 0.000
0.000 0.000 6.886
K La Mn
2 1 1
Direct
0.000 0.000 0.236
0.000 0.000 0.764
0.500 0.500 0.500
0.500 0.500 0.000
```

Output
size of the total moment = 3.8 μB/f.u.
final energy = -3.2512 eV/atom
E_form = 0.822 eV/atom
SG = Pmmm